The following is a GGA-PBE calculation of a geometry-optimized Ce2Dy3YHo6 structure, from Alexandria.

a = 6.114 Å, b = 6.114 Å, c = 11.695 Å
α = 95.00°, β = 95.00°, γ = 119.98°
Sites, in units of the cell vectors:
Ce 0.166 0.834 0.000
Ce 0.834 0.166 0.000
Dy 0.000 0.000 0.500
Dy 0.334 0.666 0.500
Dy 0.666 0.334 0.500
Y 0.500 0.500 0.000
Ho 0.080 0.416 0.750
Ho 0.248 0.248 0.250
Ho 0.416 0.080 0.750
Ho 0.584 0.920 0.250
Ho 0.752 0.752 0.750
Ho 0.920 0.584 0.250

crystal system: monoclinic
E: -4.92 eV per atom
energy of formation from the pure elements: 0.048 eV/atom
calculated volume: 31.078 Å³/atom